(1)
BaAl2B | PBE | optimized geometry

Cell: 6.6902 6.6902 6.6709 Å, 59.90 59.90 90.00°
Closest atoms and distances in Å follow each position.
Sites, in units of the cell vectors:
B 0.5000 0.5000 0.0000  4 Al 2.05
B 0.2500 0.7500 0.5000  4 Al 2.05
Ba 0.0000 0.0000 0.0000  12 Al 3.79-4.05, 4 B 4.09, 4 Ba 4.09
Ba 0.7500 0.2500 0.5000  12 Al 3.79-4.05, 4 B 4.09, 4 Ba 4.09
Al 0.3528 0.1250 0.2500  2 B 2.05
Al 0.3972 0.6250 0.2500  2 B 2.05
Al 0.3750 0.6472 0.7500  2 B 2.05
Al 0.8750 0.6028 0.7500  2 B 2.05

Results
Crystal system: tetragonal
Energy in eV per atom: -3.6640
Calculated density in g/cm3: 3.19
SG: I-42d (122)
Spin magnetization in μB per formula unit: 0.00

=====

(2)
TiCdO2F | PBE | optimized geometry

Cell: 4.1926 4.1926 4.1978 Å, 90.00 90.00 90.00°
Closest atoms and distances in Å follow each position.
Sites, in units of the cell vectors:
F 0.0000 0.0000 0.5000  2 Cd 2.10
Ti 0.5000 0.5000 0.5000  4 F 2.96, 8 O 2.97
O 0.0000 0.5000 0.0000  2 Cd 2.10
O 0.5000 0.0000 0.0000  2 Cd 2.10
Cd 0.0000 0.0000 0.0000  4 O 2.10, 2 F 2.10

Results
Crystal system: tetragonal
Energy in eV per atom: -4.7040
Calculated density in g/cm3: 4.75
SG: P4/mmm (123)
Spin magnetization in μB per formula unit: 0.09

=====

(3)
YZrCu2Pd | PBE | optimized geometry

Cell: 4.8119 4.8349 4.8119 Å, 90.00 90.00 90.00°
Closest atoms and distances in Å follow each position.
Sites, in units of the cell vectors:
Y 0.5000 0.5000 0.5000  4 Zr 3.40, 8 Cu 3.41
Cu 0.0000 0.0000 0.5000  2 Pd 2.41
Cu 0.5000 0.0000 0.0000  2 Pd 2.41
Zr 0.0000 0.5000 0.0000  2 Pd 2.42
Pd 0.0000 0.0000 0.0000  4 Cu 2.41, 2 Zr 2.42

Results
Crystal system: tetragonal
Energy in eV per atom: -5.3774
Calculated density in g/cm3: 6.14
SG: P4/mmm (123)
Spin magnetization in μB per formula unit: 0.00

=====

(4)
NaHoZnPb | PBE | optimized geometry

Cell: 5.2078 5.2078 5.2078 Å, 60.00 60.00 60.00°
Closest atoms and distances in Å follow each position.
Sites, in units of the cell vectors:
Pb 0.0000 0.0000 0.0000  4 Ho 3.19, 4 Na 3.19
Na 0.2500 0.2500 0.2500  4 Pb 3.19, 4 Zn 3.19
Zn 0.5000 0.5000 0.5000  4 Na 3.19, 4 Ho 3.19
Ho 0.7500 0.7500 0.7500  4 Pb 3.19, 4 Zn 3.19

Results
Crystal system: cubic
Energy in eV per atom: -2.9367
Calculated density in g/cm3: 7.66
SG: F-43m (216)
Spin magnetization in μB per formula unit: 0.00

=====

(5)
LiIn2Os | PBE | optimized geometry

Cell: 4.7476 4.7476 5.6904 Å, 82.71 82.71 35.73°
Closest atoms and distances in Å follow each position.
Sites, in units of the cell vectors:
In 0.0068 0.0068 0.9920  3 Li 2.80-2.96, 3 Os 2.84-2.85, 4 In 2.91-3.13
In 0.4932 0.4932 0.5080  3 Li 2.80-2.96, 3 Os 2.84-2.85, 4 In 2.91-3.13
Li 0.2500 0.2500 0.2500  6 In 2.80-2.96, 2 Li 2.91
Os 0.7500 0.7500 0.7500  6 In 2.84-2.85, 2 Os 2.91

Results
Crystal system: monoclinic
Energy in eV per atom: -4.3895
Calculated density in g/cm3: 9.55
SG: C2/m (12)
Spin magnetization in μB per formula unit: 0.46

=====

(6)
PaCo2Ni10 | PBE | optimized geometry

Cell: 4.6971 6.2187 6.2709 Å, 81.87 68.01 67.81°
Closest atoms and distances in Å follow each position.
Sites, in units of the cell vectors:
Pa 0.0000 0.0000 0.0000  16 Ni 2.88-3.14, 4 Co 3.11
Co 0.0000 0.5000 0.0000  2 Co 2.35, 8 Ni 2.37-2.50
Co 0.5000 0.5000 0.0000  2 Co 2.35, 8 Ni 2.37-2.50
Ni 0.3520 0.6465 0.6496  7 Ni 2.42-2.62, 2 Co 2.50
Ni 0.6480 0.3535 0.3504  7 Ni 2.42-2.62, 2 Co 2.50
Ni 0.9984 0.3535 0.6496  7 Ni 2.42-2.62, 2 Co 2.50
Ni 0.0016 0.6465 0.3504  7 Ni 2.42-2.62, 2 Co 2.50
Ni 0.0000 0.0000 0.5000  10 Ni 2.35-2.51
Ni 0.5000 0.0000 0.5000  10 Ni 2.35-2.51
Ni 0.2804 0.2199 0.2194  2 Co 2.37, 8 Ni 2.38-2.62
Ni 0.7196 0.7801 0.7806  2 Co 2.37, 8 Ni 2.38-2.62
Ni 0.5002 0.7801 0.2194  2 Co 2.37, 8 Ni 2.38-2.62
Ni 0.4998 0.2199 0.7806  2 Co 2.37, 8 Ni 2.38-2.62

Results
Crystal system: orthorhombic
Energy in eV per atom: -6.4080
Calculated density in g/cm3: 9.88
SG: Fmmm (69)
Spin magnetization in μB per formula unit: 6.03

=====

(7)
Ti2TcF | PBE | optimized geometry

Cell: 4.3356 4.3356 4.3356 Å, 60.00 60.00 60.00°
Closest atoms and distances in Å follow each position.
Sites, in units of the cell vectors:
F 0.0000 0.0000 0.0000  8 Ti 2.65
Tc 0.5000 0.5000 0.5000  8 Ti 2.65
Ti 0.2500 0.2500 0.2500  4 F 2.65, 4 Tc 2.65
Ti 0.7500 0.7500 0.7500  4 F 2.65, 4 Tc 2.65

Results
Crystal system: cubic
Energy in eV per atom: -7.3897
Calculated density in g/cm3: 6.13
SG: Fm-3m (225)
Spin magnetization in μB per formula unit: 0.00
Offset from the most stable computed form in meV per atom: 278.1

=====

(8)
Pm2As2Rh3 | PBE | optimized geometry

Cell: 3.9306 5.6045 7.0693 Å, 112.16 90.00 110.53°
Closest atoms and distances in Å follow each position.
Sites, in units of the cell vectors:
Pm 0.8718 0.7437 0.2335  4 As 2.99-3.14, 6 Rh 3.06-3.19
Pm 0.1282 0.2563 0.7665  4 As 2.99-3.14, 6 Rh 3.06-3.19
As 0.8459 0.6917 0.7753  5 Rh 2.54-2.63
As 0.1541 0.3083 0.2247  5 Rh 2.54-2.63
Rh 0.5000 0.0000 0.0000  4 As 2.63, 2 Rh 2.82
Rh 0.6286 0.2572 0.4352  3 As 2.54-2.56, 1 Rh 2.82
Rh 0.3714 0.7428 0.5648  3 As 2.54-2.56, 1 Rh 2.82

Results
Crystal system: monoclinic
Energy in eV per atom: -6.7228
Calculated density in g/cm3: 9.31
SG: C2/m (12)
Spin magnetization in μB per formula unit: 0.00

=====

(9)
Li2AlGa | PBE | optimized geometry

Cell: 4.4282 4.4282 4.4282 Å, 60.00 60.00 60.00°
Closest atoms and distances in Å follow each position.
Sites, in units of the cell vectors:
Al 0.0000 0.0000 0.0000  4 Ga 2.71, 4 Li 2.71
Ga 0.7500 0.7500 0.7500  4 Li 2.71, 4 Al 2.71
Li 0.5000 0.5000 0.5000  4 Li 2.71, 4 Ga 2.71
Li 0.2500 0.2500 0.2500  4 Al 2.71, 4 Li 2.71

Results
Crystal system: cubic
Energy in eV per atom: -2.9015
Calculated density in g/cm3: 2.99
SG: F-43m (216)
Spin magnetization in μB per formula unit: 0.00

=====

(10)
Nd2DyAg2Sn2 | PBE | optimized geometry

Cell: 4.8199 4.8199 9.7229 Å, 75.65 75.65 60.00°
Closest atoms and distances in Å follow each position.
Sites, in units of the cell vectors:
Nd 0.1269 0.1269 0.6192  3 Sn 3.22, 3 Ag 3.39, 1 Dy 3.55, 3 Nd 3.56
Nd 0.8731 0.8731 0.3808  3 Sn 3.22, 3 Ag 3.39, 1 Dy 3.55, 3 Nd 3.56
Dy 0.0000 0.0000 0.0000  6 Ag 3.21, 6 Sn 3.38, 2 Nd 3.55
Ag 0.6092 0.6092 0.1725  3 Sn 2.80
Ag 0.3908 0.3908 0.8275  3 Sn 2.80
Sn 0.7354 0.7354 0.7938  3 Ag 2.80
Sn 0.2646 0.2646 0.2062  3 Ag 2.80

Results
Crystal system: trigonal
Energy in eV per atom: -4.3850
Calculated density in g/cm3: 8.01
SG: R-3m (166)
Spin magnetization in μB per formula unit: 0.00

=====

(11)
Pr3Ge4Ir | PBE | optimized geometry

Cell: 4.5705 5.9542 8.2973 Å, 111.03 105.99 90.00°
Closest atoms and distances in Å follow each position.
Sites, in units of the cell vectors:
Pr 0.1904 0.1904 0.3809  6 Ge 3.03-3.07
Pr 0.8096 0.8096 0.6191  6 Ge 3.03-3.07
Pr 0.0000 0.5000 0.0000  8 Ge 3.17
Ge 0.3788 0.5927 0.7576  1 Ir 2.47, 1 Ge 2.55
Ge 0.6212 0.4073 0.2424  1 Ir 2.47, 1 Ge 2.55
Ge 0.6212 0.8351 0.2424  1 Ir 2.47, 1 Ge 2.55
Ge 0.3788 0.1649 0.7576  1 Ir 2.47, 1 Ge 2.55
Ir 0.5000 0.0000 0.0000  4 Ge 2.47

Results
Crystal system: orthorhombic
Energy in eV per atom: -5.8570
Calculated density in g/cm3: 7.47
SG: Immm (71)
Spin magnetization in μB per formula unit: 0.00

=====

(12)
KNiOs3 | PBE | optimized geometry

Cell: 4.5190 4.5190 4.5190 Å, 90.00 90.00 90.00°
Closest atoms and distances in Å follow each position.
Sites, in units of the cell vectors:
Ni 0.5000 0.5000 0.5000  12 Os 3.20
K 0.0000 0.0000 0.0000  6 Os 2.26
Os 0.0000 0.5000 0.0000  2 K 2.26
Os 0.0000 0.0000 0.5000  2 K 2.26
Os 0.5000 0.0000 0.0000  2 K 2.26

Results
Crystal system: cubic
Energy in eV per atom: -4.0767
Calculated density in g/cm3: 12.03
SG: Pm-3m (221)
Spin magnetization in μB per formula unit: 2.72
Offset from the most stable computed form in meV per atom: 1899.1

=====

no.,V (Å³ per atom)
1,26.315
2,14.758
3,22.390
4,24.968
5,18.559
6,12.097
7,14.407
8,19.070
9,15.350
10,26.776
11,25.172
12,18.457